Entry 1:
Below is a relaxed structure of Pm4SmDy2Y2, with properties calculated at the GGA-PBE level.

Output
Total moment = 0.0 Bohr magnetons per cell
Energy of formation from the pure elements = 0.02 eV per atom
Electronic total energy = -91.42 eV for the cell shown

CIF file:
```
data_Pm4SmDy2Y2
_space_group_name_H-M_alt 'C 1 2/m 1'
_space_group_IT_number 12
_cell_length_a 15.311
_cell_length_b 5.094
_cell_length_c 8.062
_cell_angle_alpha 90.00
_cell_angle_beta 108.39
_cell_angle_gamma 90.00
loop_
_space_group_symop_operation_xyz
'x,y,z'
'-x,-y,-z'
'-x,y,-z'
'x,-y,z'
'x+1/2,y+1/2,z'
'-x+1/2,-y+1/2,-z'
'-x+1/2,y+1/2,-z'
'x+1/2,-y+1/2,z'
loop_
_atom_site_label
_atom_site_type_symbol
_atom_site_fract_x
_atom_site_fract_y
_atom_site_fract_z
_atom_site_occupancy
Pm1 Pm 0.055 0.000 0.331 1
Pm2 Pm 0.222 0.500 0.332 1
Sm1 Sm 0.000 0.500 0.000 1
Dy1 Dy 0.167 0.000 0.000 1
Y1 Y 0.111 0.500 0.668 1
```

Entry 2:
Below is a relaxed structure of Pm2SmDy6Y3, with properties calculated at the GGA-PBE level.

Output
Total moment = 0.0 Bohr magnetons per cell
Energy of formation from the pure elements = 0.02 eV per atom
Electronic total energy = -122.03 eV for the cell shown

CIF file:
```
data_Pm2SmDy6Y3
_space_group_name_H-M_alt 'C 1 2/m 1'
_space_group_IT_number 12
_cell_length_a 6.197
_cell_length_b 10.726
_cell_length_c 11.839
_cell_angle_alpha 90.00
_cell_angle_beta 100.00
_cell_angle_gamma 90.00
loop_
_space_group_symop_operation_xyz
'x,y,z'
'-x,-y,-z'
'-x,y,-z'
'x,-y,z'
'x+1/2,y+1/2,z'
'-x+1/2,-y+1/2,-z'
'-x+1/2,y+1/2,-z'
'x+1/2,-y+1/2,z'
loop_
_atom_site_label
_atom_site_type_symbol
_atom_site_fract_x
_atom_site_fract_y
_atom_site_fract_z
_atom_site_occupancy
Pm1 Pm 0.000 0.167 0.000 1
Sm1 Sm 0.000 0.500 0.000 1
Dy1 Dy 0.249 0.167 0.748 1
Dy2 Dy 0.249 0.500 0.748 1
Y1 Y 0.000 0.000 0.500 1
Y2 Y 0.000 0.333 0.500 1
```

Entry 3:
Below is a relaxed structure of PmSm3DyY, with properties calculated at the GGA-PBE level.

Output
Total moment = 0.0 Bohr magnetons per cell
Energy of formation from the pure elements = 0.19 eV per atom
Electronic total energy = -115.38 eV for the cell shown

CIF file:
```
data_PmSm3DyY
_space_group_name_H-M_alt 'C 1 2/m 1'
_space_group_IT_number 12
_cell_length_a 22.118
_cell_length_b 5.583
_cell_length_c 6.788
_cell_angle_alpha 90.00
_cell_angle_beta 97.96
_cell_angle_gamma 90.00
loop_
_space_group_symop_operation_xyz
'x,y,z'
'-x,-y,-z'
'-x,y,-z'
'x,-y,z'
'x+1/2,y+1/2,z'
'-x+1/2,-y+1/2,-z'
'-x+1/2,y+1/2,-z'
'x+1/2,-y+1/2,z'
loop_
_atom_site_label
_atom_site_type_symbol
_atom_site_fract_x
_atom_site_fract_y
_atom_site_fract_z
_atom_site_occupancy
Pm1 Pm 0.132 0.000 0.475 1
Sm1 Sm 0.024 0.000 0.768 1
Sm2 Sm 0.164 0.500 0.776 1
Sm3 Sm 0.225 0.500 0.312 1
Dy1 Dy 0.071 0.500 0.178 1
Y1 Y 0.165 0.000 0.032 1
```

Entry 4:
Below is a relaxed structure of Pm3SmDy6Y2, with properties calculated at the GGA-PBE level.

Output
Total moment = 0.0 Bohr magnetons per cell
Energy of formation from the pure elements = 0.02 eV per atom
Electronic total energy = -118.64 eV for the cell shown

CIF file:
```
data_Pm3SmDy6Y2
_space_group_name_H-M_alt 'C 1 2/m 1'
_space_group_IT_number 12
_cell_length_a 6.208
_cell_length_b 10.747
_cell_length_c 11.857
_cell_angle_alpha 90.00
_cell_angle_beta 100.00
_cell_angle_gamma 90.00
loop_
_space_group_symop_operation_xyz
'x,y,z'
'-x,-y,-z'
'-x,y,-z'
'x,-y,z'
'x+1/2,y+1/2,z'
'-x+1/2,-y+1/2,-z'
'-x+1/2,y+1/2,-z'
'x+1/2,-y+1/2,z'
loop_
_atom_site_label
_atom_site_type_symbol
_atom_site_fract_x
_atom_site_fract_y
_atom_site_fract_z
_atom_site_occupancy
Pm1 Pm 0.000 0.000 0.000 1
Pm2 Pm 0.000 0.333 0.000 1
Sm1 Sm 0.000 0.500 0.500 1
Dy1 Dy 0.250 0.000 0.749 1
Dy2 Dy 0.250 0.167 0.251 1
Y1 Y 0.000 0.167 0.500 1
```

Entry 5:
Below is a relaxed structure of PmSmDy2Y6, with properties calculated at the GGA-PBE level.

Output
Total moment = 0.0 Bohr magnetons per cell
Energy of formation from the pure elements = 0.12 eV per atom
Electronic total energy = -225.03 eV for the cell shown

CIF file:
```
data_PmSmDy2Y6
_space_group_name_H-M_alt 'C 1 2/c 1'
_space_group_IT_number 15
_cell_length_a 9.160
_cell_length_b 15.040
_cell_length_c 9.672
_cell_angle_alpha 90.00
_cell_angle_beta 98.31
_cell_angle_gamma 90.00
loop_
_space_group_symop_operation_xyz
'x,y,z'
'-x,-y,-z'
'-x,y,-z+1/2'
'x,-y,z+1/2'
'x+1/2,y+1/2,z'
'-x+1/2,-y+1/2,-z'
'-x+1/2,y+1/2,-z+1/2'
'x+1/2,-y+1/2,z+1/2'
loop_
_atom_site_label
_atom_site_type_symbol
_atom_site_fract_x
_atom_site_fract_y
_atom_site_fract_z
_atom_site_occupancy
Pm1 Pm 0.000 0.092 0.250 1
Sm1 Sm 0.000 0.475 0.750 1
Dy1 Dy 0.245 0.449 0.047 1
Y1 Y 0.065 0.316 0.443 1
Y2 Y 0.099 0.107 0.618 1
Y3 Y 0.205 0.275 0.818 1
```

Entry 6:
Below is a relaxed structure of PmSm2DyY5, with properties calculated at the GGA-PBE level.

Output
Total moment = 0.0 Bohr magnetons per cell
Energy of formation from the pure elements = 0.26 eV per atom
Electronic total energy = -195.19 eV for the cell shown

CIF file:
```
data_PmSm2DyY5
_space_group_name_H-M_alt 'I 4/m c m'
_space_group_IT_number 140
_space_group_name_Hall '-I 4 2c'
_cell_length_a 8.768
_cell_length_b 8.768
_cell_length_c 15.440
_cell_angle_alpha 90.00
_cell_angle_beta 90.00
_cell_angle_gamma 90.00
loop_
_atom_site_label
_atom_site_type_symbol
_atom_site_fract_x
_atom_site_fract_y
_atom_site_fract_z
_atom_site_occupancy
Pm1 Pm 0.000 0.000 0.250 1
Sm1 Sm 0.116 0.384 0.000 1
Dy1 Dy 0.000 0.500 0.250 1
Y1 Y 0.000 0.000 0.000 1
Y2 Y 0.208 0.292 0.363 1
```

Entry 7:
Below is a relaxed structure of Pm2Sm2DyY6, with properties calculated at the GGA-PBE level.

Output
Total moment = 0.0 Bohr magnetons per cell
Energy of formation from the pure elements = 0.14 eV per atom
Electronic total energy = -121.63 eV for the cell shown

CIF file:
```
data_Pm2Sm2DyY6
_space_group_name_H-M_alt 'C m m m'
_space_group_IT_number 65
_space_group_name_Hall '-C 2 2'
_cell_length_a 5.719
_cell_length_b 12.117
_cell_length_c 10.567
_cell_angle_alpha 90.00
_cell_angle_beta 90.00
_cell_angle_gamma 90.00
loop_
_atom_site_label
_atom_site_type_symbol
_atom_site_fract_x
_atom_site_fract_y
_atom_site_fract_z
_atom_site_occupancy
Pm1 Pm 0.000 0.209 0.000 1
Sm1 Sm 0.000 0.131 0.500 1
Dy1 Dy 0.000 0.500 0.000 1
Y1 Y 0.000 0.000 0.204 1
Y2 Y 0.000 0.349 0.299 1
```

Entry 8:
Below is a relaxed structure of Pm3SmDy2Y6, with properties calculated at the GGA-PBE level.

Output
Total moment = 0.0 Bohr magnetons per cell
Energy of formation from the pure elements = 0.02 eV per atom
Electronic total energy = -133.55 eV for the cell shown

CIF file:
```
data_Pm3SmDy2Y6
_space_group_name_H-M_alt 'C 1 2/m 1'
_space_group_IT_number 12
_cell_length_a 6.227
_cell_length_b 10.779
_cell_length_c 11.860
_cell_angle_alpha 90.00
_cell_angle_beta 100.03
_cell_angle_gamma 90.00
loop_
_space_group_symop_operation_xyz
'x,y,z'
'-x,-y,-z'
'-x,y,-z'
'x,-y,z'
'x+1/2,y+1/2,z'
'-x+1/2,-y+1/2,-z'
'-x+1/2,y+1/2,-z'
'x+1/2,-y+1/2,z'
loop_
_atom_site_label
_atom_site_type_symbol
_atom_site_fract_x
_atom_site_fract_y
_atom_site_fract_z
_atom_site_occupancy
Pm1 Pm 0.000 0.000 0.000 1
Pm2 Pm 0.000 0.333 0.000 1
Sm1 Sm 0.000 0.500 0.500 1
Dy1 Dy 0.000 0.167 0.500 1
Y1 Y 0.249 0.000 0.748 1
Y2 Y 0.250 0.167 0.252 1
```

Entry 9:
Below is a relaxed structure of Pm2SmDyY, with properties calculated at the GGA-PBE level.

Output
Total moment = 0.0 Bohr magnetons per cell
Energy of formation from the pure elements = 0.41 eV per atom
Electronic total energy = -92.94 eV for the cell shown

CIF file:
```
data_Pm2SmDyY
_space_group_name_H-M_alt 'C m c m'
_space_group_IT_number 63
_space_group_name_Hall '-C 2c 2'
_cell_length_a 8.357
_cell_length_b 11.666
_cell_length_c 7.260
_cell_angle_alpha 90.00
_cell_angle_beta 90.00
_cell_angle_gamma 90.00
loop_
_atom_site_label
_atom_site_type_symbol
_atom_site_fract_x
_atom_site_fract_y
_atom_site_fract_z
_atom_site_occupancy
Pm1 Pm 0.192 0.000 0.000 1
Sm1 Sm 0.000 0.473 0.250 1
Dy1 Dy 0.000 0.212 0.250 1
Y1 Y 0.000 0.240 0.750 1
```

Entry 10:
Below is a relaxed structure of Pm5SmDyY2, with properties calculated at the GGA-PBE level.

Output
Total moment = 0.0 Bohr magnetons per cell
Energy of formation from the pure elements = 0.14 eV per atom
Electronic total energy = -178.90 eV for the cell shown

CIF file:
```
data_Pm5SmDyY2
_space_group_name_H-M_alt 'C m c 21'
_space_group_IT_number 36
_cell_length_a 5.683
_cell_length_b 20.354
_cell_length_c 10.704
_cell_angle_alpha 90.00
_cell_angle_beta 90.00
_cell_angle_gamma 90.00
loop_
_space_group_symop_operation_xyz
'x,y,z'
'-x,-y,z+1/2'
'-x,y,z'
'x,-y,z+1/2'
'x+1/2,y+1/2,z'
'-x+1/2,-y+1/2,z+1/2'
'-x+1/2,y+1/2,z'
'x+1/2,-y+1/2,z+1/2'
loop_
_atom_site_label
_atom_site_type_symbol
_atom_site_fract_x
_atom_site_fract_y
_atom_site_fract_z
_atom_site_occupancy
Pm1 Pm 0.000 0.018 0.000 1
Pm2 Pm 0.000 0.282 0.286 1
Pm3 Pm 0.000 0.297 0.681 1
Pm4 Pm 0.000 0.393 0.002 1
Pm5 Pm 0.000 0.479 0.720 1
Sm1 Sm 0.000 0.202 0.986 1
Dy1 Dy 0.000 0.411 0.435 1
Y1 Y 0.000 0.111 0.713 1
Y2 Y 0.000 0.117 0.297 1
```